Record 1
DFT (PBE) results for crystalline SrCaSi2 at its relaxed geometry.

Summary:
Its excess energy over the best structure of this formula in the dataset is 0.344 eV/atom.

```
data_SrCaSi2
_cell_length_a 7.404
_cell_length_b 7.404
_cell_length_c 7.404
_cell_angle_alpha 90.00
_cell_angle_beta 90.00
_cell_angle_gamma 90.00
_space_group_name_H-M_alt 'F m -3 m'
_space_group_IT_number 225
_space_group_name_Hall '-F 4 2 3'
loop_
_atom_site_label
_atom_site_fract_x
_atom_site_fract_y
_atom_site_fract_z
_atom_site_occupancy
Sr1 0.000 0.000 0.000 1
Ca1 0.000 0.000 0.500 1
Si1 0.250 0.250 0.250 1
```

Record 2
DFT (PBE) results for crystalline Tl11HgSe5 at its relaxed geometry.

Summary:
The calculation puts the calculated total energy at -2.832 eV/atom.

```
data_Tl11HgSe5
_cell_length_a 12.163
_cell_length_b 14.189
_cell_length_c 6.972
_cell_angle_alpha 90.00
_cell_angle_beta 107.45
_cell_angle_gamma 90.00
_space_group_name_H-M_alt 'C 1 2/m 1'
_space_group_IT_number 12
_space_group_name_Hall '-C 2y'
loop_
_atom_site_label
_atom_site_fract_x
_atom_site_fract_y
_atom_site_fract_z
_atom_site_occupancy
Tl1 0.000 0.000 0.000 1
Tl2 0.082 0.218 0.772 1
Tl3 0.182 0.500 0.906 1
Tl4 0.186 0.378 0.367 1
Hg1 0.000 0.000 0.500 1
Se1 0.000 0.500 0.500 1
Se2 0.178 0.165 0.207 1
```

Number 1: total magnetic moment 0.00 μB/f.u.. Number 2: total magnetic moment 0.00 μB/f.u..